P) Entry from Alexandria via LeMat-Bulk: a relaxed RbNbRu3 crystal (PBE-GGA).

## Properties
**Density**: 8.01 Mg/m³
**Space-group type**: Pm-3m, No. 221
**Spin magnetization**: 1.36 μB/f.u.

Geometry as POSCAR:
```
RbNbRu3
1.0
4.639 0.000 0.000
0.000 4.639 0.000
0.000 0.000 4.639
Rb Nb Ru
1 1 3
Cartesian
0.000 0.000 0.000 Rb
2.319 2.319 2.319 Nb
0.000 0.000 2.319 Ru
0.000 2.319 0.000 Ru
2.319 0.000 0.000 Ru
```


Q) Entry from Alexandria via LeMat-Bulk: a relaxed RbNbRu3 crystal (PBE-GGA).

## Properties
**Density**: 6.77 Mg/m³
**Space-group type**: Pm-3m, No. 221
**Spin magnetization**: 3.27 μB/f.u.

Geometry as POSCAR:
```
RbNbRu3
1.0
4.907 0.000 0.000
0.000 4.907 0.000
0.000 0.000 4.907
Rb Nb Ru
1 1 3
Cartesian
0.000 0.000 0.000 Rb
2.454 2.454 2.454 Nb
0.000 2.454 2.454 Ru
2.454 0.000 2.454 Ru
2.454 2.454 0.000 Ru
```


Result of the stability comparison: Q) is the most stable of them.


P) Entry from Alexandria via LeMat-Bulk: a relaxed Rb2NbRu crystal (PBE-GGA).

## Properties
**Density**: 4.46 Mg/m³
**Space-group type**: Fm-3m, No. 225
**Spin magnetization**: 6.16 μB/f.u.

Geometry as POSCAR:
```
Rb2NbRu
1.0
8.158 0.000 0.000
0.000 8.158 0.000
0.000 0.000 8.158
Rb Nb Ru
8 4 4
Cartesian
2.040 2.040 2.040 Rb
2.040 2.040 6.119 Rb
2.040 6.119 2.040 Rb
2.040 6.119 6.119 Rb
6.119 2.040 2.040 Rb
6.119 2.040 6.119 Rb
6.119 6.119 2.040 Rb
6.119 6.119 6.119 Rb
0.000 0.000 0.000 Nb
0.000 4.079 4.079 Nb
4.079 0.000 4.079 Nb
4.079 4.079 0.000 Nb
0.000 0.000 4.079 Ru
0.000 4.079 0.000 Ru
4.079 0.000 0.000 Ru
4.079 4.079 4.079 Ru
```


Q) Entry from Alexandria via LeMat-Bulk: a relaxed Rb2NbRu crystal (PBE-GGA).

## Properties
**Density**: 2.94 Mg/m³
**Space-group type**: I-42d, No. 122
**Spin magnetization**: 1.07 μB/f.u.

Geometry as POSCAR:
```
Rb2NbRu
1.0
13.361 0.000 0.000
0.000 13.361 0.000
0.000 0.000 4.614
Rb Nb Ru
8 4 4
Cartesian
1.073 3.340 0.577 Rb
3.340 7.753 1.730 Rb
3.340 12.288 4.037 Rb
5.608 3.340 2.884 Rb
7.753 10.021 2.884 Rb
10.021 1.073 4.037 Rb
10.021 5.608 1.730 Rb
12.288 10.021 0.577 Rb
0.000 0.000 2.307 Nb
0.000 6.680 3.460 Nb
6.680 0.000 1.153 Nb
6.680 6.680 0.000 Nb
0.000 0.000 0.000 Ru
0.000 6.680 1.153 Ru
6.680 0.000 3.460 Ru
6.680 6.680 2.307 Ru
```


Result of the stability comparison: Q) is the most stable of them.